Compound: AcCdSn
Source: the Alexandria database
Functional: PBE
Structure: optimized geometry

The value obtained for the energy above the lowest structure with this stoichiometry is 0.0 kJ/mol of atoms. The formation energy comes out at -560 meV/atom.

It has space group P-6m2 (No. 187), with a = 4.9793 Å, b = 4.9793 Å, c = 12.9996 Å, α = 90.00°, β = 90.00° and γ = 120.00°. The asymmetric unit holds Ac at (0.0000, 0.0000, 0.0000), Ac at (0.0000, 0.0000, 0.3314), Cd at (0.3333, 0.6667, 0.5000), Cd at (0.6667, 0.3333, 0.1333), Sn at (0.3333, 0.6667, 0.1838) and Sn at (0.6667, 0.3333, 0.5000).

Compound: Ac6Cd5Sn
Source: the Alexandria database
Functional: PBE
Structure: optimized geometry

The formation energy comes out at -358 meV/atom.

It has space group C2/m (No. 12), with a = 9.965 Å, b = 17.361 Å, c = 5.788 Å, α = 90.00°, β = 125.46° and γ = 90.00°. The asymmetric unit holds Ac at (0.245, 0.000, 0.245), Ac at (0.247, 0.165, 0.747), Cd at (0.000, 0.172, 0.000), Cd at (0.000, 0.333, 0.500), Cd at (0.000, 0.500, 0.000) and Sn at (0.000, 0.000, 0.500).

Compound: SrAcCdSn
Source: the Alexandria database
Functional: PBE
Structure: optimized geometry

The formation energy comes out at -491 meV/atom.

It has space group F-43m (No. 216), with a = 8.139 Å, b = 8.139 Å, c = 8.139 Å, α = 90.00°, β = 90.00° and γ = 90.00°. The asymmetric unit holds Sr at (0.000, 0.000, 0.000), Ac at (0.000, 0.000, 0.500), Cd at (0.250, 0.250, 0.250) and Sn at (0.250, 0.250, 0.750).

Compound: SrAc2Cd2Sn2
Source: the Alexandria database
Functional: PBE
Structure: optimized geometry

The formation energy comes out at -318 meV/atom.

It has space group R-3m (No. 166, hexagonal axes), with a = 5.1787 Å, b = 5.1787 Å, c = 30.3135 Å, α = 90.00°, β = 90.00° and γ = 120.00°. The asymmetric unit holds Sr at (0.0000, 0.0000, 0.0000), Ac at (0.0000, 0.0000, 0.1286), Cd at (0.0000, 0.0000, 0.4076) and Sn at (0.0000, 0.0000, 0.2628).

Compound: AcTbCdSn
Source: the Alexandria database
Functional: PBE
Structure: optimized geometry

The formation energy comes out at -451 meV/atom.

It has space group F-43m (No. 216), with a = 7.852 Å, b = 7.852 Å, c = 7.852 Å, α = 90.00°, β = 90.00° and γ = 90.00°. The asymmetric unit holds Ac at (0.000, 0.000, 0.000), Tb at (0.000, 0.000, 0.500), Cd at (0.250, 0.250, 0.750) and Sn at (0.250, 0.250, 0.250).

Compound: AcTlCdSn
Source: the Alexandria database
Functional: PBE
Structure: optimized geometry

The value obtained for the energy above the lowest structure with this stoichiometry is 12.4 kJ/mol of atoms. The formation energy comes out at -252 meV/atom.

It has space group F-43m (No. 216), with a = 7.830 Å, b = 7.830 Å, c = 7.830 Å, α = 90.00°, β = 90.00° and γ = 90.00°. The asymmetric unit holds Ac at (0.000, 0.000, 0.000), Tl at (0.250, 0.250, 0.750), Cd at (0.250, 0.250, 0.250) and Sn at (0.000, 0.000, 0.500).

Compound: AcTlCdSn
Source: the Alexandria database
Functional: PBE
Structure: optimized geometry

The value obtained for the energy above the lowest structure with this stoichiometry is 0.0 kJ/mol of atoms. The formation energy comes out at -381 meV/atom.

It has space group Pmmm (No. 47), with a = 4.804 Å, b = 4.922 Å, c = 5.089 Å, α = 90.00°, β = 90.00° and γ = 90.00°. The asymmetric unit holds Ac at (0.000, 0.000, 0.000), Tl at (0.500, 0.000, 0.500), Cd at (0.000, 0.500, 0.500) and Sn at (0.500, 0.500, 0.000).

Compound: AcTmCdSn
Source: the Alexandria database
Functional: PBE
Structure: optimized geometry

The formation energy comes out at -414 meV/atom.

It has space group F-43m (No. 216), with a = 7.800 Å, b = 7.800 Å, c = 7.800 Å, α = 90.00°, β = 90.00° and γ = 90.00°. The asymmetric unit holds Ac at (0.000, 0.000, 0.000), Tm at (0.000, 0.000, 0.500), Cd at (0.250, 0.250, 0.750) and Sn at (0.250, 0.250, 0.250).

Compound: Ac2Zn3CdSn4
Source: the Alexandria database
Functional: PBE
Structure: optimized geometry

The formation energy comes out at -370 meV/atom.

It has space group P-4m2 (No. 115), with a = 4.901 Å, b = 4.901 Å, c = 10.825 Å, α = 90.00°, β = 90.00° and γ = 90.00°. The asymmetric unit holds Ac at (0.000, 0.500, 0.246), Zn at (0.000, 0.500, 0.880), Zn at (0.500, 0.500, 0.500), Cd at (0.000, 0.000, 0.500), Sn at (0.000, 0.000, 0.000), Sn at (0.000, 0.500, 0.638) and Sn at (0.500, 0.500, 0.000).

Compound: Ac2Zn4CdSn3
Source: the Alexandria database
Functional: PBE
Structure: optimized geometry

The formation energy comes out at -397 meV/atom.

It has space group P-4m2 (No. 115), with a = 4.691 Å, b = 4.691 Å, c = 11.152 Å, α = 90.00°, β = 90.00° and γ = 90.00°. The asymmetric unit holds Ac at (0.000, 0.500, 0.246), Zn at (0.000, 0.000, 0.000), Zn at (0.000, 0.500, 0.632), Zn at (0.500, 0.500, 0.000), Cd at (0.000, 0.000, 0.500), Sn at (0.000, 0.500, 0.869) and Sn at (0.500, 0.500, 0.500).

Compound: SrAcCd3
Source: the Alexandria database
Functional: PBE
Structure: optimized geometry

The value obtained for the energy above the lowest structure with this stoichiometry is 0.0 kJ/mol of atoms. The formation energy comes out at -311 meV/atom.

It has space group Cmcm (No. 63), with a = 4.005 Å, b = 30.749 Å, c = 5.182 Å, α = 90.00°, β = 90.00° and γ = 90.00°. The asymmetric unit holds Sr at (0.000, 0.208, 0.250), Ac at (0.000, 0.073, 0.750), Cd at (0.000, 0.329, 0.250), Cd at (0.000, 0.381, 0.750) and Cd at (0.000, 0.477, 0.750).

Compound: SrAcCd
Source: the Alexandria database
Functional: PBE
Structure: optimized geometry

The value obtained for the energy above the lowest structure with this stoichiometry is 18.0 kJ/mol of atoms. The formation energy comes out at 0 meV/atom.

It has space group Fddd (No. 70, origin choice 2), with a = 10.237 Å, b = 13.677 Å, c = 15.661 Å, α = 90.00°, β = 90.00° and γ = 90.00°. The asymmetric unit holds Sr at (0.000, 0.000, 0.000), Ac at (0.125, 0.125, 0.497) and Cd at (0.125, 0.320, 0.625).

Compound: SrAc3Cd2
Source: the Alexandria database
Functional: PBE
Structure: optimized geometry

The formation energy comes out at -172 meV/atom.

It has space group Pmc2_1 (No. 26), with a = 5.719 Å, b = 10.488 Å, c = 7.597 Å, α = 90.00°, β = 90.00° and γ = 90.00°. The asymmetric unit holds Sr at (0.000, 0.052, 0.000), Ac at (0.000, 0.329, 0.650), Ac at (0.500, 0.176, 0.315), Ac at (0.500, 0.445, 0.967), Cd at (0.000, 0.350, 0.205) and Cd at (0.500, 0.147, 0.760).

Compound: Sr2Ac2Cd3
Source: the Alexandria database
Functional: PBE
Structure: optimized geometry

The formation energy comes out at -219 meV/atom.

It has space group C2/m (No. 12), with a = 9.896 Å, b = 5.719 Å, c = 9.947 Å, α = 90.00°, β = 109.30° and γ = 90.00°. The asymmetric unit holds Sr at (0.126, 0.000, 0.378), Ac at (0.124, 0.500, 0.871), Cd at (0.000, 0.000, 0.000) and Cd at (0.248, 0.500, 0.242).

Compound: Sr2AcCd8
Source: the Alexandria database
Functional: PBE
Structure: optimized geometry

The formation energy comes out at -262 meV/atom.

It has space group C2/m (No. 12), with a = 8.710 Å, b = 16.548 Å, c = 5.625 Å, α = 90.00°, β = 129.89° and γ = 90.00°. The asymmetric unit holds Sr at (0.000, 0.190, 0.000), Ac at (0.000, 0.500, 0.500), Cd at (0.000, 0.293, 0.500), Cd at (0.002, 0.000, 0.752) and Cd at (0.225, 0.376, 0.226).

Compound: Sr3Ac2Cd4
Source: the Alexandria database
Functional: PBE
Structure: optimized geometry

The formation energy comes out at -244 meV/atom.

It has space group C2/m (No. 12), with a = 9.936 Å, b = 5.743 Å, c = 11.301 Å, α = 90.00°, β = 90.08° and γ = 90.00°. The asymmetric unit holds Sr at (0.000, 0.000, 0.000), Sr at (0.167, 0.500, 0.410), Ac at (0.166, 0.500, 0.797), Cd at (0.001, 0.000, 0.333) and Cd at (0.167, 0.500, 0.102).

Compound: Sr2AcCd2
Source: the Alexandria database
Functional: PBE
Structure: optimized geometry

The value obtained for the energy above the lowest structure with this stoichiometry is 0.0 kJ/mol of atoms. The formation energy comes out at -224 meV/atom.

It has space group Cmmm (No. 65), with a = 4.101 Å, b = 23.605 Å, c = 4.012 Å, α = 90.00°, β = 90.00° and γ = 90.00°. The asymmetric unit holds Sr at (0.000, 0.171, 0.000), Ac at (0.000, 0.000, 0.000) and Cd at (0.000, 0.413, 0.500).

Compound: Sr2Ac3Cd3
Source: the Alexandria database
Functional: PBE
Structure: optimized geometry

The formation energy comes out at -179 meV/atom.

It has space group Immm (No. 71), with a = 4.121 Å, b = 5.918 Å, c = 24.882 Å, α = 90.00°, β = 90.00° and γ = 90.00°. The asymmetric unit holds Sr at (0.000, 0.000, 0.223), Ac at (0.000, 0.000, 0.000), Ac at (0.000, 0.500, 0.114), Cd at (0.000, 0.000, 0.500) and Cd at (0.000, 0.500, 0.387).

Compound: SrAcCd6
Source: the Alexandria database
Functional: PBE
Structure: optimized geometry

The value obtained for the energy above the lowest structure with this stoichiometry is 1.1 kJ/mol of atoms. The formation energy comes out at -261 meV/atom.

It has space group Amm2 (No. 38), with a = 5.127 Å, b = 7.373 Å, c = 11.971 Å, α = 90.00°, β = 90.00° and γ = 90.00°. The asymmetric unit holds Sr at (0.000, 0.000, 0.000), Ac at (0.500, 0.000, 0.697), Cd at (0.000, 0.000, 0.507), Cd at (0.000, 0.211, 0.266), Cd at (0.500, 0.000, 0.191) and Cd at (0.500, 0.210, 0.430).

Compound: SrAcCd6
Source: the Alexandria database
Functional: PBE
Structure: optimized geometry

The value obtained for the energy above the lowest structure with this stoichiometry is 0.0 kJ/mol of atoms. The formation energy comes out at -272 meV/atom.

It has space group Pmm2 (No. 25), with a = 4.942 Å, b = 6.669 Å, c = 6.871 Å, α = 90.00°, β = 90.00° and γ = 90.00°. The asymmetric unit holds Sr at (0.000, 0.000, 0.000), Ac at (0.500, 0.500, 0.800), Cd at (0.000, 0.247, 0.538), Cd at (0.000, 0.500, 0.164), Cd at (0.500, 0.000, 0.640) and Cd at (0.500, 0.252, 0.269).